(1)
Material: La3Cd2
Method: DFT, GGA-PBEsol
State: optimized geometry

## Properties
Calculated formation energy in eV per atom: -0.196
Energy above the lowest structure with this stoichiometry in kJ/mol of atoms: 0.0

Cell: 6.2342 6.5388 8.6764 Å, 99.86 111.05 61.53°
Closest atoms and distances in Å follow each position.
Element x y z (fractional)
La (0.3415, 0.5000, 0.5000)  6 Cd 3.27-3.46, 4 La 3.46-3.59
Cd (0.1905, 0.4609, 0.0927)  8 La 3.27-3.50, 2 Cd 3.49
Cd (0.9014, 0.0391, 0.5927)  8 La 3.27-3.50, 2 Cd 3.49
La (0.4389, 0.0869, 0.8054)  5 Cd 3.29-3.50, 5 La 3.31-3.59
La (0.8836, 0.5869, 0.6946)  5 Cd 3.29-3.50, 5 La 3.31-3.59
Cd (0.5587, 0.5391, 0.9073)  8 La 3.27-3.50, 2 Cd 3.49
La (0.7758, 0.4131, 0.3054)  5 Cd 3.29-3.50, 5 La 3.31-3.59
Cd (0.3478, 0.9609, 0.4073)  8 La 3.27-3.50, 2 Cd 3.49
La (0.0915, 0.0000, 0.0000)  6 Cd 3.27-3.46, 4 La 3.46-3.59
La (0.7205, 0.9131, 0.1946)  5 Cd 3.29-3.50, 5 La 3.31-3.59

---

(2)
Material: LaAl2Hg
Method: DFT, GGA-PBEsol
State: optimized geometry

## Properties
Calculated formation energy in eV per atom: -0.363

Cell: 4.4609 4.4609 6.0239 Å, 68.27 68.27 60.00°
Closest atoms and distances in Å follow each position.
Element x y z (fractional)
Al (0.0353, 0.0353, 0.8940)  3 Al 2.64
La (0.2538, 0.2538, 0.2385)  3 Hg 3.18, 3 Al 3.19
Al (0.7386, 0.7386, 0.7842)  3 Al 2.64, 3 Hg 2.80
Hg (0.4728, 0.4728, 0.5816)  6 Al 2.80-3.09

---

(3)
Material: TiB3Sb
Method: DFT, GGA-PBEsol
State: optimized geometry

## Properties
E_form (uncorrected) in eV/atom: 2.151

Cell: 4.3346 4.3346 4.3346 Å, 90.00 90.00 90.00°
Closest atoms and distances in Å follow each position.
Element x y z (fractional)
B (0.0000, 0.5000, 0.0000)  2 Sb 2.17
B (0.0000, 0.0000, 0.5000)  2 Sb 2.17
Sb (0.0000, 0.0000, 0.0000)  6 B 2.17
Ti (0.5000, 0.5000, 0.5000)  12 B 3.07
B (0.5000, 0.0000, 0.0000)  2 Sb 2.17

---

(4)
Material: CeGe4Rh6
Method: DFT, GGA-PBEsol
State: optimized geometry

## Properties
Calculated formation energy in eV per atom: -0.763

Cell: 3.8159 7.1110 7.1110 Å, 120.00 90.00 90.00°
Closest atoms and distances in Å follow each position.
Element x y z (fractional)
Ge (0.5000, 0.3960, 0.1980)  6 Rh 2.45-2.53
Rh (0.0000, 0.5331, 0.0662)  5 Ge 2.46-2.53
Ce (0.0000, 0.0000, 0.0000)  6 Ge 3.10, 6 Rh 3.11
Rh (0.0000, 0.9338, 0.4669)  5 Ge 2.46-2.53
Rh (0.0000, 0.5331, 0.4669)  5 Ge 2.46-2.53
Ge (0.5000, 0.8020, 0.6040)  6 Rh 2.45-2.53
Ge (0.5000, 0.8020, 0.1980)  6 Rh 2.45-2.53
Rh (0.5000, 0.1992, 0.8008)  4 Ge 2.45-2.52
Rh (0.5000, 0.6015, 0.8008)  4 Ge 2.45-2.52
Ge (0.0000, 0.3333, 0.6667)  9 Rh 2.46-2.52
Rh (0.5000, 0.1992, 0.3985)  4 Ge 2.45-2.52

---

(5)
Material: KInW2
Method: DFT, GGA-PBEsol
State: optimized geometry

## Properties
Calculated formation energy in eV per atom: 0.959

Cell: 2.7037 4.6159 7.8389 Å, 92.10 90.00 107.03°
Closest atoms and distances in Å follow each position.
Element x y z (fractional)
K (0.7550, 0.5099, 0.2403)  2 K 2.70
W (0.9924, 0.9848, 0.9195)  5 W 2.54-2.79
In (0.5091, 0.0182, 0.5683)  2 In 2.70, 3 W 2.89-2.90
W (0.2435, 0.4870, 0.7720)  5 W 2.54-2.79

---

(6)
Material: LaTi3Si
Method: DFT, GGA-PBEsol
State: optimized geometry

## Properties
E_form (uncorrected) in eV/atom: 0.200

Cell: 4.7488 4.7488 4.7488 Å, 90.00 90.00 90.00°
Closest atoms and distances in Å follow each position.
Element x y z (fractional)
Ti (0.0000, 0.5000, 0.0000)  2 Si 2.37
Ti (0.5000, 0.0000, 0.0000)  2 Si 2.37
Si (0.0000, 0.0000, 0.0000)  6 Ti 2.37
Ti (0.0000, 0.0000, 0.5000)  2 Si 2.37
La (0.5000, 0.5000, 0.5000)  12 Ti 3.36

---

(7)
Material: CrTeRh2
Method: DFT, GGA-PBEsol
State: optimized geometry

## Properties
E_form (uncorrected) in eV/atom: 0.329

Cell: 2.9780 2.9780 8.3926 Å, 79.78 79.78 60.00°
Closest atoms and distances in Å follow each position.
Element x y z (fractional)
Te (0.5000, 0.5000, 0.5000)  6 Rh 2.79, 6 Te 2.98
Rh (0.7441, 0.7441, 0.7676)  3 Cr 2.57, 3 Te 2.79
Rh (0.2559, 0.2559, 0.2324)  3 Cr 2.57, 3 Te 2.79
Cr (0.0000, 0.0000, 0.0000)  6 Rh 2.57

---

(8)
Material: Hf2CrCdN
Method: DFT, GGA-PBEsol
State: optimized geometry

## Properties
E_form (uncorrected) in eV/atom: 2.409

Cell: 4.7152 5.0867 5.0867 Å, 90.00 90.00 90.00°
Closest atoms and distances in Å follow each position.
Element x y z (fractional)
Cr (0.5000, 0.0000, 0.0000)  2 Cd 2.36
N (0.5000, 0.5000, 0.5000)  8 Hf 3.47, 4 Cr 3.60
Cd (0.0000, 0.0000, 0.0000)  2 Cr 2.36, 4 Hf 2.54
Hf (0.0000, 0.5000, 0.0000)  2 Cd 2.54
Hf (0.0000, 0.0000, 0.5000)  2 Cd 2.54

---

(9)
Material: LaCo2Rh
Method: DFT, GGA-PBEsol
State: optimized geometry

## Properties
Calculated formation energy in eV per atom: 0.193

Cell: 3.8156 4.2684 4.7510 Å, 116.69 113.68 90.00°
Closest atoms and distances in Å follow each position.
Element x y z (fractional)
Co (0.0213, 0.0213, 0.0427)  2 Co 2.47, 2 Rh 2.76
Co (0.7291, 0.2291, 0.4581)  2 Co 2.47, 2 La 2.76
La (0.4913, 0.4913, 0.9827)  8 Co 2.76-2.87, 4 Rh 2.77-2.78
Rh (0.2583, 0.7583, 0.5165)  8 Co 2.76-2.87, 4 La 2.77-2.78

---

(10)
Material: Cu2RuBr
Method: DFT, GGA-PBEsol
State: optimized geometry

## Properties
Energy above the lowest structure with this stoichiometry in kJ/mol of atoms: 1.6
E_form (uncorrected) in eV/atom: 0.702

Cell: 2.7933 4.7317 4.7317 Å, 115.32 90.00 90.00°
Closest atoms and distances in Å follow each position.
Element x y z (fractional)
Ru (0.5000, 0.0000, 0.0000)  2 Br 2.53, 8 Cu 2.75, 2 Ru 2.79
Br (0.5000, 0.5000, 0.5000)  2 Ru 2.53, 8 Cu 2.75, 2 Br 2.79
Cu (0.0000, 0.5000, 0.0000)  4 Cu 2.53-2.79, 4 Ru 2.75, 4 Br 2.75
Cu (0.0000, 0.0000, 0.5000)  4 Cu 2.53-2.79, 4 Br 2.75, 4 Ru 2.75

---

(11)
Material: AlSe3F
Method: DFT, GGA-PBEsol
State: optimized geometry

## Properties
E_form (uncorrected) in eV/atom: 0.264

Cell: 4.5791 4.5791 4.5791 Å, 90.00 90.00 90.00°
Closest atoms and distances in Å follow each position.
Element x y z (fractional)
Al (0.5000, 0.5000, 0.5000)  12 Se 3.24
F (0.0000, 0.0000, 0.0000)  6 Se 2.29
Se (0.0000, 0.5000, 0.0000)  2 F 2.29
Se (0.0000, 0.0000, 0.5000)  2 F 2.29
Se (0.5000, 0.0000, 0.0000)  2 F 2.29

---

(12)
Material: KCr2FeO8
Method: DFT, GGA-PBEsol
State: optimized geometry

## Properties
E_form (uncorrected) in eV/atom: -1.709

Cell: 4.9778 4.9778 7.5874 Å, 85.89 85.89 64.78°
Closest atoms and distances in Å follow each position.
Element x y z (fractional)
O (0.2231, 0.7411, 0.3264)  1 Cr 1.69, 1 Fe 1.86
Fe (0.0000, 0.0000, 0.5000)  6 O 1.83-1.86
O (0.2167, 0.2167, 0.4500)  1 Cr 1.64, 1 Fe 1.83
O (0.7769, 0.2589, 0.6736)  1 Cr 1.69, 1 Fe 1.86
Cr (0.3706, 0.3706, 0.3009)  4 O 1.61-1.69
O (0.7411, 0.2231, 0.3264)  1 Cr 1.69, 1 Fe 1.86
O (0.3170, 0.3170, 0.1026)  1 Cr 1.61
Cr (0.6294, 0.6294, 0.6991)  4 O 1.61-1.69
O (0.6830, 0.6830, 0.8974)  1 Cr 1.61
O (0.2589, 0.7769, 0.6736)  1 Cr 1.69, 1 Fe 1.86
O (0.7833, 0.7833, 0.5500)  1 Cr 1.64, 1 Fe 1.83
K (0.0000, 0.0000, 0.0000)  6 O 2.78-2.84

---

| no. | total moment (μB/f.u.) | total DFT energy (no corrections) (eV/atom) |
| --- | --- | --- |
| 1 | 0.00 | -3.882 |
| 2 | 0.00 | -3.887 |
| 3 | 0.94 | -4.635 |
| 4 | 0.19 | -7.598 |
| 5 | 0.00 | -6.974 |
| 6 | 0.00 | -7.012 |
| 7 | 2.41 | -7.182 |
| 8 | 4.34 | -5.786 |
| 9 | 2.37 | -7.046 |
| 10 | 0.00 | -4.475 |
| 11 | 0.00 | -3.250 |
| 12 | 1.00 | -7.757 |